[1]
The following is a DFT calculation (PBE) of a relaxed Pa6Co2Tc crystal.

abc: 7.947 7.947 7.947
angles: 121.74 104.20 103.22
Atoms (fractional coordinates):
Pa1 0.035 0.242 0.793
Pa2 0.196 0.302 0.498
Pa3 0.196 0.698 0.894
Pa4 0.317 0.051 0.733
Pa5 0.317 0.584 0.267
Pa6 0.448 0.242 0.207
Pa7 0.552 0.758 0.793
Pa8 0.683 0.416 0.733
Pa9 0.683 0.949 0.267
Pa10 0.804 0.302 0.106
Pa11 0.804 0.698 0.502
Pa12 0.965 0.758 0.207
Co1 0.138 0.638 0.500
Co2 0.353 0.000 0.353
Co3 0.647 0.000 0.647
Co4 0.862 0.362 0.500
Tc1 0.000 0.000 0.000
Tc2 0.500 0.500 0.000

Values from the calculation:
- Formation energy from the elements: -115 meV per atom
- Symmetry: No. 71


[2]
The following is a DFT calculation (PBE) of a relaxed Tb6NdY2Ho3 crystal.

abc: 6.168 6.168 11.815
angles: 94.96 94.96 119.95
Atoms (fractional coordinates):
Tb1 0.085 0.418 0.753
Tb2 0.249 0.249 0.248
Tb3 0.418 0.085 0.753
Tb4 0.582 0.915 0.247
Tb5 0.751 0.751 0.752
Tb6 0.915 0.582 0.247
Nd1 0.000 0.000 0.500
Y1 0.333 0.667 0.500
Y2 0.667 0.333 0.500
Ho1 0.167 0.833 0.000
Ho2 0.500 0.500 0.000
Ho3 0.833 0.167 0.000

Values from the calculation:
- Formation energy from the elements: 17 meV per atom
- Symmetry: No. 12


[3]
The following is a DFT calculation (PBE) of a relaxed PmSm5HoEr2 crystal.

abc: 10.485 10.485 10.675
angles: 90.00 90.00 148.87
Atoms (fractional coordinates):
Pm1 0.201 0.799 0.500
Pm2 0.799 0.201 0.000
Sm1 0.017 0.983 0.513
Sm2 0.281 0.719 0.798
Sm3 0.298 0.702 0.195
Sm4 0.392 0.608 0.515
Sm5 0.479 0.521 0.231
Sm6 0.521 0.479 0.731
Sm7 0.608 0.392 0.015
Sm8 0.702 0.298 0.695
Sm9 0.719 0.281 0.298
Sm10 0.983 0.017 0.013
Ho1 0.411 0.589 0.947
Ho2 0.589 0.411 0.447
Er1 0.110 0.890 0.228
Er2 0.115 0.885 0.807
Er3 0.885 0.115 0.307
Er4 0.890 0.110 0.728

Values from the calculation:
- Formation energy from the elements: 150 meV per atom
- Symmetry: No. 36


[4]
The following is a DFT calculation (PBE) of a relaxed TbPr2In3Se6 crystal.

abc: 7.398 7.398 8.106
angles: 98.75 98.75 119.98
Atoms (fractional coordinates):
Tb1 0.000 0.000 0.000
Pr1 0.333 0.667 0.000
Pr2 0.667 0.333 0.000
In1 0.168 0.832 0.500
In2 0.500 0.500 0.500
In3 0.832 0.168 0.500
Se1 0.071 0.395 0.213
Se2 0.252 0.252 0.784
Se3 0.395 0.071 0.213
Se4 0.605 0.929 0.787
Se5 0.748 0.748 0.216
Se6 0.929 0.605 0.787

Values from the calculation:
- Symmetry: No. 12


[5]
The following is a DFT calculation (PBE) of a relaxed Dy6ErMg5 crystal.

abc: 5.368 7.676 8.546
angles: 90.00 108.32 90.00
Atoms (fractional coordinates):
Dy1 0.000 0.240 0.000
Dy2 0.000 0.760 0.000
Dy3 0.333 0.247 0.661
Dy4 0.333 0.753 0.661
Dy5 0.667 0.247 0.339
Dy6 0.667 0.753 0.339
Er1 0.500 0.500 0.000
Mg1 0.160 0.500 0.325
Mg2 0.164 0.000 0.335
Mg3 0.500 0.000 0.000
Mg4 0.836 0.000 0.665
Mg5 0.840 0.500 0.675

Values from the calculation:
- Formation energy from the elements: -29 meV per atom
- Symmetry: No. 10


[6]
The following is a DFT calculation (PBE) of a relaxed Ac6TlGa crystal.

abc: 10.582 10.582 10.582
angles: 149.06 149.06 44.33
Atoms (fractional coordinates):
Ac1 0.105 0.605 0.500
Ac2 0.250 0.250 0.000
Ac3 0.395 0.895 0.500
Ac4 0.605 0.105 0.500
Ac5 0.750 0.750 0.000
Ac6 0.895 0.395 0.500
Tl1 0.000 0.000 0.000
Ga1 0.500 0.500 0.000

Values from the calculation:
- Formation energy from the elements: -165 meV per atom
- Symmetry: No. 139
- Energy above the lowest structure with this stoichiometry: 0.000 eV/atom


[7]
The following is a DFT calculation (PBE) of a relaxed K2NbCu2O6 crystal.

abc: 5.828 5.828 6.618
angles: 90.00 90.00 120.00
Atoms (fractional coordinates):
K1 0.333 0.667 0.316
K2 0.667 0.333 0.684
Nb1 0.000 0.000 0.000
Cu1 0.333 0.667 0.826
Cu2 0.667 0.333 0.174
O1 0.101 0.314 0.817
O2 0.213 0.899 0.817
O3 0.314 0.213 0.183
O4 0.686 0.787 0.817
O5 0.787 0.101 0.183
O6 0.899 0.686 0.183

Values from the calculation:
- Symmetry: No. 147


[8]
The following is a DFT calculation (PBE) of a relaxed Mg2TaOsBr crystal.

abc: 5.181 5.181 4.763
angles: 90.00 90.00 90.00
Atoms (fractional coordinates):
Mg1 0.000 0.500 0.000
Mg2 0.500 0.000 0.000
Ta1 0.000 0.000 0.500
Os1 0.000 0.000 0.000
Br1 0.500 0.500 0.500

Values from the calculation:
- Symmetry: No. 123


[9]
The following is a DFT calculation (PBE) of a relaxed Tb3Ge2Rh5 crystal.

abc: 9.976 9.976 3.681
angles: 90.00 90.00 90.00
Atoms (fractional coordinates):
Tb1 0.000 0.000 0.000
Tb2 0.173 0.327 0.000
Tb3 0.327 0.827 0.000
Tb4 0.500 0.500 0.000
Tb5 0.673 0.173 0.000
Tb6 0.827 0.673 0.000
Ge1 0.123 0.623 0.000
Ge2 0.377 0.123 0.000
Ge3 0.623 0.877 0.000
Ge4 0.877 0.377 0.000
Rh1 0.000 0.500 0.500
Rh2 0.070 0.783 0.500
Rh3 0.217 0.070 0.500
Rh4 0.283 0.570 0.500
Rh5 0.430 0.283 0.500
Rh6 0.500 0.000 0.500
Rh7 0.570 0.717 0.500
Rh8 0.717 0.430 0.500
Rh9 0.783 0.930 0.500
Rh10 0.930 0.217 0.500

Values from the calculation:
- Formation energy from the elements: -852 meV per atom
- Symmetry: No. 127


[10]
The following is a DFT calculation (PBE) of a relaxed CaP2W crystal.

abc: 4.522 4.522 4.522
angles: 119.95 119.95 90.08
Atoms (fractional coordinates):
Ca1 0.000 0.000 0.000
P1 0.250 0.750 0.500
P2 0.750 0.250 0.500
W1 0.500 0.500 0.000

Values from the calculation:
- Formation energy from the elements: -59 meV per atom
- Symmetry: No. 139
- Energy above the lowest structure with this stoichiometry: 0.503 eV/atom


[11]
The following is a DFT calculation (PBE) of a relaxed Pm3Tm2Cd3 crystal.

abc: 11.695 11.695 11.695
angles: 161.64 152.97 32.88
Atoms (fractional coordinates):
Pm1 0.000 0.000 0.000
Pm2 0.375 0.875 0.500
Pm3 0.625 0.125 0.500
Tm1 0.235 0.235 0.000
Tm2 0.765 0.765 0.000
Cd1 0.121 0.621 0.500
Cd2 0.500 0.500 0.000
Cd3 0.879 0.379 0.500

Values from the calculation:
- Formation energy from the elements: -233 meV per atom
- Symmetry: No. 71


[12]
The following is a DFT calculation (PBE) of a relaxed Al2TlOs crystal.

abc: 2.910 2.910 9.931
angles: 90.00 90.00 115.97
Atoms (fractional coordinates):
Al1 0.000 0.000 0.000
Al2 0.500 0.500 0.237
Tl1 0.500 0.500 0.688
Os1 0.000 0.000 0.430

Values from the calculation:
- Formation energy from the elements: 430 meV per atom
- Symmetry: No. 35
- Energy above the lowest structure with this stoichiometry: 0.515 eV/atom


[13]
The following is a DFT calculation (PBE) of a relaxed NaMgH3 crystal.

abc: 3.241 5.693 7.469
angles: 90.00 90.35 90.00
Atoms (fractional coordinates):
Na1 0.249 0.250 0.393
Na2 0.751 0.750 0.607
Mg1 0.251 0.250 0.831
Mg2 0.749 0.750 0.169
H1 0.247 0.750 0.040
H2 0.252 0.008 0.671
H3 0.252 0.492 0.671
H4 0.748 0.508 0.329
H5 0.748 0.992 0.329
H6 0.753 0.250 0.960

Values from the calculation:
- Symmetry: No. 11


[14]
The following is a DFT calculation (PBE) of a relaxed PrIn3Te3 crystal.

abc: 8.917 8.918 9.310
angles: 61.41 89.95 60.01
Atoms (fractional coordinates):
Pr1 0.166 0.169 0.497
Pr2 0.834 0.831 0.503
In1 0.176 0.971 0.146
In2 0.353 0.530 0.146
In3 0.383 0.294 0.853
In4 0.617 0.706 0.147
In5 0.647 0.470 0.854
In6 0.824 0.029 0.854
Te1 0.017 0.340 0.743
Te2 0.143 0.774 0.743
Te3 0.418 0.100 0.257
Te4 0.582 0.900 0.743
Te5 0.857 0.226 0.257
Te6 0.983 0.660 0.257

Values from the calculation:
- Symmetry: No. 2


[15]
The following is a DFT calculation (PBE) of a relaxed Zn3Ag crystal.

abc: 5.023 5.023 5.023
angles: 90.00 90.00 90.00
Atoms (fractional coordinates):
Zn1 0.000 0.000 0.500
Zn2 0.000 0.500 0.000
Zn3 0.500 0.000 0.000
Ag1 0.000 0.000 0.000

Values from the calculation:
- Formation energy from the elements: 422 meV per atom
- Symmetry: No. 221


[16]
The following is a DFT calculation (PBE) of a relaxed POsRuN crystal.

abc: 3.201 3.201 6.604
angles: 104.11 104.11 59.68
Atoms (fractional coordinates):
P1 0.000 0.000 0.000
Os1 0.407 0.407 0.224
Ru1 0.878 0.878 0.634
N1 0.516 0.516 0.544

Values from the calculation:
- Symmetry: No. 8
- Energy above the lowest structure with this stoichiometry: 0.047 eV/atom


[17]
The following is a DFT calculation (PBE) of a relaxed Be6NiRu crystal.

abc: 3.671 4.634 4.222
angles: 90.00 90.00 90.00
Atoms (fractional coordinates):
Be1 0.000 0.000 0.000
Be2 0.000 0.251 0.518
Be3 0.000 0.749 0.518
Be4 0.500 0.238 0.826
Be5 0.500 0.500 0.370
Be6 0.500 0.762 0.826
Ni1 0.500 0.000 0.316
Ru1 0.000 0.500 0.020

Values from the calculation:
- Formation energy from the elements: -296 meV per atom
- Symmetry: No. 25


[18]
The following is a DFT calculation (PBE) of a relaxed SrTlMo2 crystal.

abc: 3.765 3.765 7.029
angles: 90.00 90.00 90.00
Atoms (fractional coordinates):
Sr1 0.000 0.000 0.000
Tl1 0.000 0.000 0.500
Mo1 0.500 0.500 0.339
Mo2 0.500 0.500 0.661

Values from the calculation:
- Formation energy from the elements: 783 meV per atom
- Symmetry: No. 123
- Energy above the lowest structure with this stoichiometry: 0.399 eV/atom


[19]
The following is a DFT calculation (PBE) of a relaxed Ac3MgMn2N6 crystal.

abc: 5.817 5.817 6.793
angles: 90.00 90.00 120.00
Atoms (fractional coordinates):
Ac1 0.000 0.000 0.000
Ac2 0.333 0.667 0.670
Ac3 0.667 0.333 0.330
Mg1 0.000 0.000 0.500
Mn1 0.333 0.667 0.223
Mn2 0.667 0.333 0.777
N1 0.170 0.339 0.297
N2 0.170 0.830 0.297
N3 0.339 0.170 0.703
N4 0.661 0.830 0.297
N5 0.830 0.170 0.703
N6 0.830 0.661 0.703

Values from the calculation:
- Symmetry: No. 164


[20]
The following is a DFT calculation (PBE) of a relaxed Ca2MgTcRh crystal.

abc: 5.452 5.452 4.743
angles: 90.00 90.00 90.00
Atoms (fractional coordinates):
Ca1 0.000 0.500 0.000
Ca2 0.500 0.000 0.000
Mg1 0.000 0.000 0.500
Tc1 0.500 0.500 0.500
Rh1 0.500 0.500 0.000

Values from the calculation:
- Formation energy from the elements: 412 meV per atom
- Symmetry: No. 123


[21]
The following is a DFT calculation (PBE) of a relaxed Rb3HfBi3 crystal.

abc: 8.174 8.174 10.146
angles: 94.33 94.33 99.14
Atoms (fractional coordinates):
Rb1 0.165 0.835 0.000
Rb2 0.292 0.708 0.500
Rb3 0.377 0.377 0.130
Rb4 0.623 0.623 0.870
Rb5 0.708 0.292 0.500
Rb6 0.835 0.165 0.000
Hf1 0.135 0.135 0.624
Hf2 0.865 0.865 0.376
Bi1 0.133 0.133 0.338
Bi2 0.166 0.435 0.789
Bi3 0.435 0.166 0.789
Bi4 0.565 0.834 0.211
Bi5 0.834 0.565 0.211
Bi6 0.867 0.867 0.662

Values from the calculation:
- Formation energy from the elements: -207 meV per atom
- Symmetry: No. 12


[22]
The following is a DFT calculation (PBE) of a relaxed RbNpCu2I8 crystal.

abc: 7.371 7.371 10.694
angles: 93.49 93.49 68.70
Atoms (fractional coordinates):
Rb1 0.000 0.000 0.000
Np1 0.000 0.000 0.500
Cu1 0.366 0.366 0.725
Cu2 0.634 0.634 0.275
I1 0.244 0.244 0.513
I2 0.247 0.740 0.300
I3 0.260 0.753 0.700
I4 0.301 0.301 0.941
I5 0.699 0.699 0.059
I6 0.740 0.247 0.300
I7 0.753 0.260 0.700
I8 0.756 0.756 0.487

Values from the calculation:
- Symmetry: No. 12


| no. | raw total energy (eV/cell) |
| --- | --- |
| 1 | -165.18 |
| 2 | -59.01 |
| 3 | -81.40 |
| 4 | -58.79 |
| 5 | -40.50 |
| 6 | -31.36 |
| 7 | -65.21 |
| 8 | -25.12 |
| 9 | -136.80 |
| 10 | -26.01 |
| 11 | -27.80 |
| 12 | -19.36 |
| 13 | -27.41 |
| 14 | -52.85 |
| 15 | -4.98 |
| 16 | -33.86 |
| 17 | -39.78 |
| 18 | -22.58 |
| 19 | -92.04 |
| 20 | -21.25 |
| 21 | -51.89 |
| 22 | -41.59 |